Entry 1:
Hf2H2Ir after structural relaxation, computed with GGA-PBE.

abc: 5.330 5.330 5.618
angles: 107.39 107.39 112.09
Fractional coordinates of all 10 atoms:
Hf 0.428 0.572 0.250
Hf 0.823 0.177 0.250
Hf 0.177 0.823 0.750
Hf 0.572 0.428 0.750
H 0.737 0.486 0.475
H 0.514 0.263 0.025
H 0.486 0.737 0.975
H 0.263 0.514 0.525
Ir 0.126 0.874 0.250
Ir 0.874 0.126 0.750

Results
DFT total energy in eV/atom: -7.60
Space group: No. 15


Entry 2:
K2TaTi after structural relaxation, computed with GGA-PBE.

abc: 5.508 5.508 5.508
angles: 60.00 60.00 60.00
Site moments in Bohr magnetons follow the coordinates.
Fractional coordinates of all 4 atoms:
K 0.250 0.250 0.250  0.01
K 0.750 0.750 0.750  0.01
Ti 0.000 0.000 0.000  0.20
Ta 0.500 0.500 0.500  0.56

Results
Energy of formation in eV/atom: 2.1991
Space group: No. 225


Entry 3:
BaSrHg2W after structural relaxation, computed with GGA-PBE.

abc: 6.054 5.578 6.054
angles: 90.00 90.00 90.00
Site moments in Bohr magnetons follow the coordinates.
Fractional coordinates of all 5 atoms:
Sr 0.500 0.500 0.500  -0.01
Hg 0.000 0.000 0.500  -0.01
Hg 0.500 0.000 0.000  -0.01
W 0.000 0.500 0.000  2.17
Ba 0.000 0.000 0.000  0.00

Results
Energy of formation in eV/atom: 1.2345
Space group: No. 123


Entry 4:
NbAgPO6 after structural relaxation, computed with GGA-PBE.

abc: 4.804 5.065 5.065
angles: 120.00 90.00 90.00
Fractional coordinates of all 9 atoms:
Nb 0.500 0.667 0.333
Ag 0.000 0.333 0.667
P 0.500 0.000 0.000
O 0.704 0.732 0.708
O 0.704 0.292 0.024
O 0.704 0.976 0.268
O 0.296 0.292 0.268
O 0.296 0.732 0.024
O 0.296 0.976 0.708

Results
Raw formation energy in meV per atom: -1610
Space group: No. 149


| no. | total moment (μB per cell) |
| --- | --- |
| 1 | 0.0 |
| 2 | 1.1 |
| 3 | 2.7 |
| 4 | 0.0 |